First-principles (PBE) data for crystalline Rb2AgBr4 at its relaxed geometry, as listed in Alexandria via LeMat-Bulk.

Results
Final energy: -2.70 eV/atom
Energy above the most stable polymorph in this dataset: 56 meV per atom
Space-group type: No. 12
Formation energy from raw total energies: -1.060 eV/atom

Cell lengths 4.537, 8.347, 8.529 Å; angles 124.28, 105.43, 90.00 degrees
Element x y z (fractional)
Rb  0.663  0.633  0.326
Rb  0.337  0.367  0.674
Br  0.021  0.714  0.042
Br  0.979  0.286  0.958
Br  0.356  0.813  0.711
Br  0.644  0.187  0.289
Ag  0.000  0.000  0.000